No. 1
AlBiPt2 after structural relaxation. Source: Alexandria, functional PBE-GGA.

It has space group P4/mmm (No. 123), with a = 3.151 Å, b = 3.151 Å, c = 7.381 Å, α = 90.00°, β = 90.00° and γ = 90.00°. The asymmetric unit holds Al at (0.000, 0.000, 0.000), Bi at (0.000, 0.000, 0.500) and Pt at (0.500, 0.500, 0.192).

The calculation puts the final energy at -5.465 eV/atom. As for the distance to the lowest polymorph of the same formula: 0.0000 eV/atom.

No. 2
Al3BiPt after structural relaxation. Source: Alexandria, functional PBE-GGA.

It has space group Pm-3m (No. 221), with a = 4.845 Å, b = 4.845 Å, c = 4.845 Å, α = 90.00°, β = 90.00° and γ = 90.00°. The asymmetric unit holds Al at (0.000, 0.000, 0.500), Bi at (0.500, 0.500, 0.500) and Pt at (0.000, 0.000, 0.000).

The calculation puts the final energy at -4.404 eV/atom. As for the distance to the lowest polymorph of the same formula: 0.0000 eV/atom.